# 1
# ZrSc3N4

ZrSc3N4 after structural relaxation (PBE, Alexandria via LeMat-Bulk).

The structure in POSCAR format:
```
ZrSc3N4
1.0
-0.630 1.531 -2.753
4.027 -2.881 -2.523
-4.799 -2.767 -0.441
N Zr Sc
4 1 3
Cartesian
1.511 -2.087 -3.380
-2.912 -2.030 -2.337
-0.579 -4.236 -2.223
-0.193 -1.412 -0.741
-0.315 0.766 -1.377
-0.701 -2.058 -2.859
-2.400 -1.384 -0.221
2.014 -1.440 -1.261
```

Values from the calculation:
**Electronic total energy**: -9.51 eV per atom
**Space-group type**: Cmmm, No. 65
**Size of the total moment**: 0.00 μB/cell
**Crystal system**: orthorhombic
**Uncorrected formation energy**: -15.231 eV/f.u.
**Calculated volume**: 93.6 Å³/cell

=====

# 2
# ZrSc2N

ZrSc2N after structural relaxation (PBE, Alexandria via LeMat-Bulk).

The structure in POSCAR format:
```
ZrSc2N
1.0
-2.933 -5.160 -2.295
5.339 -1.691 -3.023
2.460 -5.691 0.829
N Sc Zr
2 4 2
Cartesian
4.501 -5.404 -2.426
1.203 -3.425 -2.659
-0.092 -4.053 -1.246
3.116 -9.999 -3.558
3.127 -3.931 -2.327
3.582 -7.102 -1.844
0.365 -7.138 -2.062
0.000 0.000 0.000
```

Values from the calculation:
**Electronic total energy**: -7.74 eV per atom
**Space-group type**: I-42d, No. 122
**Size of the total moment**: 0.00 μB/cell
**Crystal system**: tetragonal
**Uncorrected formation energy**: -1.430 eV/f.u.
**Calculated volume**: 176.0 Å³/cell

=====

# 3
# Zr3ScN4

Zr3ScN4 after structural relaxation (PBE, Alexandria via LeMat-Bulk).

The structure in POSCAR format:
```
Zr3ScN4
1.0
-3.018 3.250 -1.183
0.320 -1.302 -4.391
-3.444 -2.969 0.630
N Zr Sc
4 3 1
Cartesian
-1.722 -1.485 0.315
-3.072 -0.510 -2.472
0.160 -0.651 -2.195
-1.509 1.625 -0.592
-3.231 0.141 -0.277
-1.349 0.974 -2.787
-1.562 -2.136 -1.881
0.000 0.000 0.000
```

Values from the calculation:
**Electronic total energy**: -9.93 eV per atom
**Space-group type**: Pm-3m, No. 221
**Size of the total moment**: 0.00 μB/cell
**Crystal system**: cubic
**Uncorrected formation energy**: -14.196 eV/f.u.
**Calculated volume**: 96.8 Å³/cell

=====

# 4
# ZrScN2

ZrScN2 after structural relaxation (PBE, Alexandria via LeMat-Bulk).

The structure in POSCAR format:
```
ZrScN2
1.0
0.000 2.818 2.818
2.818 0.000 2.818
2.818 2.818 0.000
N Zr Sc
2 1 1
Cartesian
1.409 1.409 1.409
4.227 4.227 4.227
2.818 2.818 2.818
0.000 0.000 0.000
```

Values from the calculation:
**Electronic total energy**: -8.70 eV per atom
**Space-group type**: Fm-3m, No. 225
**Size of the total moment**: 0.00 μB/cell
**Crystal system**: cubic
**Uncorrected formation energy**: -3.277 eV/f.u.
**Calculated volume**: 44.8 Å³/cell

=====

# 5
# ZrScN2

ZrScN2 after structural relaxation (PBE, Alexandria via LeMat-Bulk).

The structure in POSCAR format:
```
ZrScN2
1.0
3.198 0.000 0.000
-1.599 2.769 0.001
0.000 -0.003 5.587
N Zr Sc
2 1 1
Cartesian
0.800 2.306 4.194
0.799 0.461 1.394
-0.799 1.383 2.794
-0.799 1.385 0.001
```

Values from the calculation:
**Electronic total energy**: -9.38 eV per atom
**Space-group type**: P-3m1, No. 164
**Size of the total moment**: 0.00 μB/cell
**Crystal system**: trigonal
**Uncorrected formation energy**: -5.972 eV/f.u.
**Calculated volume**: 49.5 Å³/cell

=====

# 6
# ZrScN

ZrScN after structural relaxation (PBE, Alexandria via LeMat-Bulk).

The structure in POSCAR format:
```
ZrScN
1.0
-0.671 4.195 -3.273
-1.307 -1.962 -2.248
-1.906 1.428 2.222
Zr N Sc
1 1 1
Cartesian
-1.664 0.149 -1.523
-0.668 4.174 -3.256
-2.224 3.533 -1.792
```

Values from the calculation:
**Electronic total energy**: -8.93 eV per atom
**Space-group type**: P3m1, No. 156
**Size of the total moment**: 0.00 μB/cell
**Crystal system**: trigonal
**Uncorrected formation energy**: -3.595 eV/f.u.
**Calculated volume**: 49.3 Å³/cell
**Offset from the most stable computed form**: 0.10 eV per formula unit

=====

Which value of electronic total energy does entry 4 give? -8.70 eV per atom

=====

What is the uncorrected formation energy in the fourth record? -3.277 eV/f.u.

=====

What is the formula in the third record? Zr3ScN4